# Lu4ZnSnC2

A relaxed Lu4ZnSnC2 crystal (PBE, OQMD via LeMat-Bulk).

total energy	-5.680	eV per atom

Unit cell a=3.5169 b=3.5169 c=15.1420 alpha=90.00 beta=90.00 gamma=120.00
With the nearest neighbours (Å) after each atom.
Atoms (fractional coordinates):
1 Lu 0.0000 0.0000 0.1584  3 C 2.42
2 Lu 0.0000 0.0000 0.8416  3 C 2.42
3 Lu 0.6667 0.3333 0.3300  3 C 2.40
4 Lu 0.6667 0.3333 0.6700  3 C 2.40
5 Zn 0.6667 0.3333 0.0000  6 Lu 3.14, 6 Zn 3.52
6 Sn 0.0000 0.0000 0.5000  6 Lu 3.28, 6 Sn 3.52
7 C 0.3333 0.6667 0.2452  6 Lu 2.40-2.42
8 C 0.3333 0.6667 0.7548  6 Lu 2.40-2.42

---

# SmHoBiO2

A relaxed SmHoBiO2 crystal (PBE, OQMD via LeMat-Bulk).

total energy	-7.316	eV per atom

Unit cell a=7.3236 b=7.3236 c=7.3236 alpha=149.08 beta=149.08 gamma=44.29
With the nearest neighbours (Å) after each atom.
Atoms (fractional coordinates):
1 Sm 0.0000 0.0000 0.0000  4 O 2.29
2 Ho 0.6668 0.6668 0.0000  4 O 2.22
3 Bi 0.3333 0.3333 0.0000  4 Ho 3.57, 4 Sm 3.57, 8 O 3.85-3.98, 4 Bi 3.90
4 O 0.0886 0.5886 0.5000  2 Ho 2.22, 2 Sm 2.29
5 O 0.5886 0.0886 0.5000  2 Ho 2.22, 2 Sm 2.29

---

# Tm6Ni2Pb

A relaxed Tm6Ni2Pb crystal (PBE, OQMD via LeMat-Bulk).

total energy	-5.007	eV per atom

Unit cell a=8.3407 b=8.3407 c=8.3407 alpha=112.89 beta=109.62 gamma=105.98
With the nearest neighbours (Å) after each atom.
Atoms (fractional coordinates):
1 Tm 0.0229 0.2323 0.7906  1 Ni 2.71
2 Tm 0.1824 0.2943 0.4767  3 Ni 2.87-3.17
3 Tm 0.1824 0.7057 0.8881  3 Ni 2.87-3.17
4 Tm 0.3256 0.0164 0.6908  3 Ni 2.68-2.85
5 Tm 0.3256 0.6347 0.3092  3 Ni 2.68-2.85
6 Tm 0.4417 0.2323 0.2094  1 Ni 2.71
7 Tm 0.5583 0.7677 0.7906  1 Ni 2.71
8 Tm 0.6744 0.3653 0.6908  3 Ni 2.68-2.85
9 Tm 0.6744 0.9836 0.3092  3 Ni 2.68-2.85
10 Tm 0.8176 0.2943 0.1119  3 Ni 2.87-3.17
11 Tm 0.8176 0.7057 0.5233  3 Ni 2.87-3.17
12 Tm 0.9771 0.7677 0.2094  1 Ni 2.71
13 Ni 0.1247 0.6247 0.5000  1 Ni 2.51, 2 Tm 2.68
14 Ni 0.3535 0.0000 0.3535  6 Tm 2.71-2.85, 1 Ni 2.82
15 Ni 0.6465 0.0000 0.6465  6 Tm 2.71-2.85, 1 Ni 2.82
16 Ni 0.8753 0.3753 0.5000  1 Ni 2.51, 2 Tm 2.68
17 Pb 0.0000 0.0000 0.0000  8 Tm 3.08-3.23, 2 Ni 3.40
18 Pb 0.5000 0.5000 0.0000  12 Tm 3.35-3.59

---

# NaTe3WAu

A relaxed NaTe3WAu crystal (PBE, OQMD via LeMat-Bulk).

total energy	-4.494	eV per atom

Unit cell a=7.5682 b=7.5682 c=10.8514 alpha=90.00 beta=90.00 gamma=149.29
With the nearest neighbours (Å) after each atom.
Atoms (fractional coordinates):
1 Na 0.2299 0.7701 0.7500  2 Au 3.17, 6 Te 3.46-3.47
2 Na 0.7701 0.2299 0.2500  2 Au 3.17, 6 Te 3.46-3.47
3 Te 0.0768 0.9232 0.2500  2 Au 2.85, 2 W 2.94
4 Te 0.3663 0.6337 0.0231  1 Au 2.68, 2 W 2.81
5 Te 0.3663 0.6337 0.4769  1 Au 2.68, 2 W 2.81
6 Te 0.6337 0.3663 0.5231  1 Au 2.68, 2 W 2.81
7 Te 0.6337 0.3663 0.9769  1 Au 2.68, 2 W 2.81
8 Te 0.9232 0.0768 0.7500  2 Au 2.85, 2 W 2.94
9 W 0.0000 0.0000 0.0000  6 Te 2.81-2.94
10 W 0.0000 0.0000 0.5000  6 Te 2.81-2.94
11 Au 0.4382 0.5618 0.2500  4 Te 2.68-2.85
12 Au 0.5618 0.4382 0.7500  4 Te 2.68-2.85

---

# NbNi6Sb

A relaxed NbNi6Sb crystal (PBE, OQMD via LeMat-Bulk).

total energy	-6.142	eV per atom

Unit cell a=4.2511 b=5.1752 c=4.5398 alpha=90.00 beta=90.00 gamma=90.00
With the nearest neighbours (Å) after each atom.
Atoms (fractional coordinates):
1 Nb 0.0000 0.0000 0.0000  12 Ni 2.59-2.64
2 Ni 0.0000 0.2503 0.4933  8 Ni 2.52-2.71, 2 Nb 2.59-2.64, 2 Sb 2.63
3 Ni 0.0000 0.5000 0.0171  8 Ni 2.52-2.71, 2 Nb 2.59, 2 Sb 2.62
4 Ni 0.0000 0.7497 0.4933  8 Ni 2.52-2.71, 2 Nb 2.59-2.64, 2 Sb 2.63
5 Ni 0.5000 0.0000 0.6552  8 Ni 2.53-2.68, 2 Sb 2.59, 2 Nb 2.64
6 Ni 0.5000 0.2484 0.1743  8 Ni 2.53-2.68, 2 Sb 2.59-2.64, 2 Nb 2.61
7 Ni 0.5000 0.7516 0.1743  8 Ni 2.53-2.68, 2 Sb 2.59-2.64, 2 Nb 2.61
8 Sb 0.5000 0.5000 0.6800  12 Ni 2.59-2.64

---

# DyCuB

A relaxed DyCuB crystal (PBE, OQMD via LeMat-Bulk).

total energy	-4.901	eV per atom

Unit cell a=4.1156 b=4.1156 c=4.1156 alpha=60.00 beta=60.00 gamma=60.00
With the nearest neighbours (Å) after each atom.
Atoms (fractional coordinates):
1 Dy 0.0000 0.0000 0.0000  4 B 2.52
2 Cu 0.5000 0.5000 0.5000  4 B 2.52
3 B 0.7500 0.7500 0.7500  4 Cu 2.52, 4 Dy 2.52

---

# Y4InNiN2

A relaxed Y4InNiN2 crystal (PBE, OQMD via LeMat-Bulk).

total energy	-7.276	eV per atom

Unit cell a=3.5196 b=3.5196 c=14.6690 alpha=90.00 beta=90.00 gamma=120.00
With the nearest neighbours (Å) after each atom.
Atoms (fractional coordinates):
1 Y 0.0000 0.0000 0.1328  3 N 2.53, 3 Ni 2.82
2 Y 0.0000 0.0000 0.8672  3 N 2.53, 3 Ni 2.82
3 Y 0.6667 0.3333 0.3199  3 N 2.38
4 Y 0.6667 0.3333 0.6801  3 N 2.38
5 In 0.0000 0.0000 0.5000  6 Y 3.33, 6 In 3.52
6 Ni 0.6667 0.3333 0.0000  6 Y 2.82
7 N 0.3333 0.6667 0.2354  6 Y 2.38-2.53
8 N 0.3333 0.6667 0.7646  6 Y 2.38-2.53

---

# Zr4TlInC2

A relaxed Zr4TlInC2 crystal (PBE, OQMD via LeMat-Bulk).

total energy	-7.878	eV per atom

Unit cell a=3.3829 b=3.3829 c=15.0868 alpha=90.00 beta=90.00 gamma=120.00
With the nearest neighbours (Å) after each atom.
Atoms (fractional coordinates):
1 Zr 0.0000 0.0000 0.1674  3 C 2.31
2 Zr 0.0000 0.0000 0.8326  3 C 2.31
3 Zr 0.3333 0.6667 0.3311  3 C 2.31
4 Zr 0.3333 0.6667 0.6689  3 C 2.31
5 Tl 0.0000 0.0000 0.5000  6 Zr 3.21, 6 Tl 3.38
6 In 0.3333 0.6667 0.0000  6 Zr 3.19, 6 In 3.38
7 C 0.6667 0.3333 0.2497  6 Zr 2.31
8 C 0.6667 0.3333 0.7503  6 Zr 2.31